First-principles (meta-GGA SCAN) data for a crystal of PrIn3Pt relaxed with PBEsol, as listed in the Alexandria database.

Summary:
Fermi-level density of states = 0.26 states/eV per atom
uncorrected energy = -43.494 eV per atom
ΔH_f (0 K) = -758 meV per atom
space group = No. 223
calculated volume = 22.94 Å³/atom

a b c (Å): 9.717 9.717 9.717
angles (deg): 90.00 90.00 90.00
Sites, in units of the cell vectors:
Pr 0.000 0.000 0.000
Pr 0.000 0.250 0.500
Pr 0.000 0.750 0.500
Pr 0.250 0.500 0.000
Pr 0.500 0.000 0.250
Pr 0.500 0.000 0.750
Pr 0.500 0.500 0.500
Pr 0.750 0.500 0.000
In 0.000 0.319 0.152
In 0.000 0.319 0.848
In 0.000 0.681 0.152
In 0.000 0.681 0.848
In 0.152 0.000 0.319
In 0.152 0.000 0.681
In 0.181 0.500 0.348
In 0.181 0.500 0.652
In 0.319 0.152 0.000
In 0.319 0.848 0.000
In 0.348 0.181 0.500
In 0.348 0.819 0.500
In 0.500 0.348 0.181
In 0.500 0.348 0.819
In 0.500 0.652 0.181
In 0.500 0.652 0.819
In 0.652 0.181 0.500
In 0.652 0.819 0.500
In 0.681 0.152 0.000
In 0.681 0.848 0.000
In 0.819 0.500 0.348
In 0.819 0.500 0.652
In 0.848 0.000 0.319
In 0.848 0.000 0.681
Pt 0.250 0.250 0.250
Pt 0.250 0.250 0.750
Pt 0.250 0.750 0.250
Pt 0.250 0.750 0.750
Pt 0.750 0.250 0.250
Pt 0.750 0.250 0.750
Pt 0.750 0.750 0.250
Pt 0.750 0.750 0.750

First-principles (meta-GGA SCAN) data for a crystal of Zr3N2 relaxed with PBEsol, as listed in the Alexandria database.

Summary:
Fermi-level density of states = 0.46 states/eV per atom
uncorrected energy = -23.760 eV per atom
uncorrected formation energy = -1.6247 eV/atom
space group = No. 167
calculated volume = 14.12 Å³/atom

a b c (Å): 6.120 6.120 6.120
angles (deg): 54.48 54.48 54.48
Sites, in units of the cell vectors:
Zr 0.075 0.750 0.425
Zr 0.250 0.575 0.925
Zr 0.425 0.075 0.750
Zr 0.575 0.925 0.250
Zr 0.750 0.425 0.075
Zr 0.925 0.250 0.575
N 0.161 0.161 0.161
N 0.339 0.339 0.339
N 0.661 0.661 0.661
N 0.839 0.839 0.839

First-principles (meta-GGA SCAN) data for a crystal of HgAsBr relaxed with PBEsol, as listed in the Alexandria database.

Summary:
Fermi-level density of states = 1.11 states/eV per atom
uncorrected energy = -35.515 eV per atom
uncorrected formation energy = 0.4232 eV/atom
space group = No. 216
relative energy among the computed polymorphs = 0.0 meV/atom
calculated volume = 25.96 Å³/atom

a b c (Å): 4.793 4.793 4.793
angles (deg): 60.00 60.00 60.00
Sites, in units of the cell vectors:
Hg 0.000 0.000 0.000
As 0.750 0.750 0.750
Br 0.500 0.500 0.500

First-principles (meta-GGA SCAN) data for a crystal of BeIO2F relaxed with PBEsol, as listed in the Alexandria database.

Summary:
Fermi-level density of states = 0.34 states/eV per atom
uncorrected energy = -11.965 eV per atom
uncorrected formation energy = -0.5456 eV/atom
space group = No. 123
calculated volume = 14.06 Å³/atom

a b c (Å): 3.359 3.359 6.232
angles (deg): 90.00 90.00 90.00
Sites, in units of the cell vectors:
Be 0.000 0.000 0.000
I 0.000 0.000 0.500
O 0.000 0.500 0.000
O 0.500 0.000 0.000
F 0.500 0.500 0.500

Look up the Fermi-level density of states of the second one. 0.46 states/eV per atom